1.
The following is a PBE calculation of a geometry-optimized Pm5SmAl2 structure, from the Alexandria database.

- total magnetization (μB per atom) = 0.000
- polymorph energy (0 for the lowest one) (meV/atom) = 0.0
- calculated formation energy (eV per atom) = -0.07
- volume (Å³/atom) = 30.16

Lattice parameters (Å, degrees): 3.682 10.612 12.350 90.00 90.00 90.00
Space group Immm (No. 71)
One atom of each set of equivalent atoms:
Pm 0.000 0.000 0.000 [2 per cell]
Pm 0.000 0.282 0.358 [8 per cell]
Sm 0.000 0.500 0.000 [2 per cell]
Al 0.000 0.000 0.274 [4 per cell]


2.
The following is a PBE calculation of a geometry-optimized PmSm4Al4 structure, from the Alexandria database.

- total magnetization (μB per atom) = 0.000
- calculated formation energy (eV per atom) = -0.03
- volume (Å³/atom) = 30.16

Lattice parameters (Å, degrees): 7.277 7.277 10.252 90.00 90.00 90.00
Space group P4_2/nmc (No. 137, origin choice 2)
One atom of each set of equivalent atoms:
Pm 0.250 0.750 0.250 [2 per cell]
Sm 0.005 0.250 0.135 [8 per cell]
Al 0.068 0.250 0.431 [8 per cell]


3.
The following is a PBE calculation of a geometry-optimized PmSmAl2 structure, from the Alexandria database.

- total magnetization (μB per atom) = 0.000
- calculated formation energy (eV per atom) = -0.37
- volume (Å³/atom) = 25.11

Lattice parameters (Å, degrees): 3.690 3.690 7.377 90.00 90.00 90.00
Space group P4/mmm (No. 123)
One atom of each set of equivalent atoms:
Pm 0.000 0.000 0.000 [1 per cell]
Sm 0.000 0.000 0.500 [1 per cell]
Al 0.500 0.500 0.252 [2 per cell]


4.
The following is a PBE calculation of a geometry-optimized PmSmAl2 structure, from the Alexandria database.

- total magnetization (μB per atom) = 0.000
- calculated formation energy (eV per atom) = -0.12
- volume (Å³/atom) = 27.58

Lattice parameters (Å, degrees): 3.7038 3.7038 27.8532 90.00 90.00 120.00
Space group R-3m (No. 166, hexagonal axes)
One atom of each set of equivalent atoms:
Pm 0.0000 0.0000 0.0000 [3 per cell]
Sm 0.0000 0.0000 0.5000 [3 per cell]
Al 0.0000 0.0000 0.2497 [6 per cell]


5.
The following is a PBE calculation of a geometry-optimized PmSm12Al3 structure, from the Alexandria database.

- total magnetization (μB per atom) = 0.000
- calculated formation energy (eV per atom) = -0.11
- volume (Å³/atom) = 29.81

Lattice parameters (Å, degrees): 4.883 4.883 20.006 90.00 90.00 90.00
Space group P4/mmm (No. 123)
One atom of each set of equivalent atoms:
Pm 0.000 0.000 0.000 [1 per cell]
Sm 0.000 0.500 0.136 [4 per cell]
Sm 0.000 0.500 0.379 [4 per cell]
Sm 0.500 0.500 0.000 [1 per cell]
Sm 0.500 0.500 0.259 [2 per cell]
Sm 0.500 0.500 0.500 [1 per cell]
Al 0.000 0.000 0.258 [2 per cell]
Al 0.000 0.000 0.500 [1 per cell]


6.
The following is a PBE calculation of a geometry-optimized Pm5SmAl4 structure, from the Alexandria database.

- total magnetization (μB per atom) = 0.000
- calculated formation energy (eV per atom) = -0.28
- volume (Å³/atom) = 27.21

Lattice parameters (Å, degrees): 3.666 3.666 20.247 90.00 90.00 90.00
Space group P4/mmm (No. 123)
One atom of each set of equivalent atoms:
Pm 0.000 0.000 0.000 [1 per cell]
Pm 0.000 0.000 0.186 [2 per cell]
Pm 0.000 0.000 0.371 [2 per cell]
Sm 0.500 0.500 0.500 [1 per cell]
Al 0.500 0.500 0.093 [2 per cell]
Al 0.500 0.500 0.280 [2 per cell]


7.
The following is a PBE calculation of a geometry-optimized PmSm4Al structure, from the Alexandria database.

- total magnetization (μB per atom) = 0.000
- polymorph energy (0 for the lowest one) (meV/atom) = 67.9
- calculated formation energy (eV per atom) = -0.03
- volume (Å³/atom) = 31.42

Lattice parameters (Å, degrees): 8.934 14.071 6.356 90.00 109.30 90.00
Space group C2/c (No. 15)
One atom of each set of equivalent atoms:
Pm 0.000 0.094 0.250 [4 per cell]
Sm 0.101 0.318 0.548 [8 per cell]
Sm 0.221 0.112 0.873 [8 per cell]
Al 0.000 0.500 0.250 [4 per cell]


8.
The following is a PBE calculation of a geometry-optimized PmSm2Al structure, from the Alexandria database.

- total magnetization (μB per atom) = 0.221
- polymorph energy (0 for the lowest one) (meV/atom) = 167.6
- calculated formation energy (eV per atom) = -0.02
- volume (Å³/atom) = 28.80

Lattice parameters (Å, degrees): 7.724 7.724 7.724 90.00 90.00 90.00
Space group Fm-3m (No. 225)
One atom of each set of equivalent atoms:
Pm 0.000 0.000 0.000 [4 per cell]
Sm 0.250 0.250 0.250 [8 per cell]
Al 0.000 0.000 0.500 [4 per cell]